Compound: Rb2MnCoCl6
Source: Alexandria via LeMat-Bulk
Functional: GGA-PBE
Structure: relaxed

Unit cell a=6.863 b=6.863 c=6.863 alpha=116.04 beta=116.04 gamma=97.01
Sites, in units of the cell vectors:
Rb 0.250 0.750 0.500
Rb 0.750 0.250 0.500
Mn 0.000 0.000 0.000
Co 0.500 0.500 0.000
Cl 0.252 0.252 0.505
Cl 0.252 0.748 0.000
Cl 0.253 0.253 0.000
Cl 0.747 0.747 0.000
Cl 0.748 0.252 0.000
Cl 0.748 0.748 0.495

Computed properties:
Total moment (μB/f.u.): 7.201
Calculated volume (Å³/cell): 240.3
Final energy (eV/atom): -4.144